A geometry-optimized TbSiP2N6 structure. Source: Alexandria, functional PBE.

Lattice parameters (Å, degrees): 6.924 6.924 5.650 108.44 108.44 90.58
Fractional positions:
Tb  0.127  0.873  0.750
Tb  0.873  0.127  0.250
Si  0.204  0.796  0.250
Si  0.796  0.204  0.750
P  0.237  0.391  0.858
P  0.391  0.237  0.358
P  0.609  0.763  0.642
P  0.763  0.609  0.142
N  0.037  0.214  0.710
N  0.189  0.625  0.953
N  0.214  0.037  0.210
N  0.329  0.376  0.615
N  0.375  0.811  0.547
N  0.376  0.329  0.115
N  0.624  0.671  0.885
N  0.625  0.189  0.453
N  0.671  0.624  0.385
N  0.786  0.963  0.790
N  0.811  0.375  0.047
N  0.963  0.786  0.290

Its crystal system is monoclinic. The total moment is 1.89 μB per cell. The calculation puts the volume at 12.10 A^3/atom. As for the space group: No. 15. The uncorrected formation energy is -64.3 kJ per mole of atoms.